Entry from the Open Quantum Materials Database: an optimized crystal structure of Y3ErSc2NiTe2 (PBE-GGA).

Results
Space group ... Amm2, No. 38
VASP energy ... -6.121 eV/atom

abc: 3.927 8.156 8.156
angles: 120.78 90.00 90.00
Site moments in Bohr magnetons follow the coordinates.
Sites, in units of the cell vectors:
Y (0.500, 0.001, 0.600)  0.04
Sc (0.000, 0.996, 0.231)  0.04
Er (0.000, 0.769, 0.769)  0.07
Ni (0.500, 0.021, 0.021)  0.02
Sc (0.000, 0.231, 0.996)  0.04
Y (0.500, 0.600, 0.001)  0.05
Te (0.000, 0.666, 0.329)  0.00
Te (0.000, 0.329, 0.666)  0.00
Y (0.500, 0.388, 0.388)  0.03

=====

Entry from the Open Quantum Materials Database: an optimized crystal structure of DyTeNO (PBE-GGA).

Results
Space group ... P4/nmm, No. 129
E above lowest polymorph ... 1.60 eV/f.u.

abc: 4.511 4.511 7.069
angles: 90.00 90.00 90.00
Sites, in units of the cell vectors:
Dy (0.750, 0.750, 0.882)
Te (0.250, 0.750, 0.500)
N (0.250, 0.250, 0.444)
N (0.750, 0.750, 0.556)
Dy (0.250, 0.250, 0.118)
O (0.750, 0.250, 0.000)
O (0.250, 0.750, 0.000)
Te (0.750, 0.250, 0.500)

=====

Entry from the Open Quantum Materials Database: an optimized crystal structure of PuTlSb (PBE-GGA).

Results
Space group ... F-43m, No. 216
E above lowest polymorph ... 0.00 eV/f.u.

abc: 5.214 5.214 5.214
angles: 60.00 60.00 60.00
Site moments in Bohr magnetons follow the coordinates.
Sites, in units of the cell vectors:
Sb (0.250, 0.250, 0.250)  -0.07
Tl (0.750, 0.750, 0.750)  0.12
Pu (0.000, 0.000, 0.000)  5.57

=====

Entry from the Open Quantum Materials Database: an optimized crystal structure of Hf4InAsN2 (PBE-GGA).

Results
Space group ... P-6m2, No. 187
VASP energy ... -9.134 eV/atom

abc: 3.324 3.324 13.456
angles: 90.00 90.00 120.00
Sites, in units of the cell vectors:
As (0.000, 0.000, 0.000)
Hf (0.000, 0.000, 0.321)
Hf (0.667, 0.333, 0.140)
N (0.333, 0.667, 0.767)
Hf (0.000, 0.000, 0.679)
In (0.667, 0.333, 0.500)
Hf (0.667, 0.333, 0.860)
N (0.333, 0.667, 0.233)

=====

Entry from the Open Quantum Materials Database: an optimized crystal structure of ThTcTe (PBE-GGA).

Results
Space group ... F-43m, No. 216
VASP energy ... -6.608 eV/atom

abc: 4.851 4.851 4.851
angles: 60.00 60.00 60.00
Sites, in units of the cell vectors:
Tc (0.250, 0.250, 0.250)
Th (0.750, 0.750, 0.750)
Te (0.000, 0.000, 0.000)

=====

Entry from the Open Quantum Materials Database: an optimized crystal structure of Pd2WAu (PBE-GGA).

Results
Space group ... F-43m, No. 216
Energy of formation ... 0.989 eV per formula unit

abc: 4.481 4.481 4.481
angles: 60.00 60.00 60.00
Sites, in units of the cell vectors:
Au (0.250, 0.250, 0.250)
W (0.500, 0.500, 0.500)
Pd (0.000, 0.000, 0.000)
Pd (0.750, 0.750, 0.750)

=====

no.,spin magnetization (μB per cell)
1,0.48
2,0.00
3,5.98
4,0.00
5,0.94
6,0.01